# 1
Material: Pa2S4O
Method: DFT, GGA-PBE
State: relaxed

```
Pa2S4O
1.0
-3.8673 0.5703 -2.6054
-4.2031 -1.1575 1.7502
-3.5191 7.0843 2.5390
S O Pa
4 1 2
Direct
0.8990 0.8990 0.3029 S
0.1010 0.1010 0.6971 S
0.2930 0.2930 0.1209 S
0.7070 0.7070 0.8791 S
0.5000 0.5000 0.5000 O
0.4117 0.4117 0.7650 Pa
0.5883 0.5883 0.2350 Pa
```

## Properties
mass density: 6.7 g/cm³
ΔE_f (raw): -1.93 eV/atom
raw total energy: -7.71 eV/atom
total magnetic moment: 0.0 μB/cell

# 2
Material: PaSO
Method: DFT, GGA-PBE
State: relaxed

```
PaSO
1.0
3.9741 0.0000 0.0000
0.0000 3.8394 0.0000
0.0000 -1.9197 3.3250
S Pa O
1 1 1
Direct
0.6667 0.6667 0.3333 S
0.1666 0.0000 0.0000 Pa
0.1668 0.3333 0.6667 O
```

## Properties
mass density: 9.1 g/cm³
ΔE_f (raw): -2.64 eV/atom
raw total energy: -8.84 eV/atom
total magnetic moment: 0.0 μB/cell

# 3
Material: Pa2S2O
Method: DFT, GGA-PBE
State: relaxed

```
Pa2S2O
1.0
-0.9628 -0.8090 -3.2703
-3.5836 -3.5204 1.9259
-1.5402 6.1249 0.8153
Pa S O
2 2 1
Direct
0.3478 0.8478 0.6956 Pa
0.6522 0.1522 0.3044 Pa
0.6561 0.6561 0.3122 S
0.3439 0.3439 0.6878 S
0.0000 0.0000 0.0000 O
```

## Properties
mass density: 8.7 g/cm³
ΔE_f (raw): -1.95 eV/atom
raw total energy: -8.39 eV/atom
total magnetic moment: 0.0 μB/cell

# 4
Material: PaSO
Method: DFT, GGA-PBE
State: relaxed

```
PaSO
1.0
-3.8064 0.2815 -0.3613
1.7755 -3.2729 -0.9137
-0.9031 -2.5842 7.5017
Pa O S
2 2 2
Direct
0.8334 0.1667 0.2500 Pa
0.1666 0.8333 0.7500 Pa
0.8333 0.1666 0.7500 O
0.1667 0.8334 0.2500 O
0.5000 0.5000 0.0000 S
0.5000 0.5000 0.5000 S
```

## Properties
mass density: 9.1 g/cm³
ΔE_f (raw): -2.62 eV/atom
raw total energy: -8.81 eV/atom
total magnetic moment: 0.0 μB/cell

# 5
Material: PaSO3
Method: DFT, GGA-PBE
State: relaxed

```
PaSO3
1.0
-2.8493 4.3936 -5.1427
-2.7347 -2.0667 -0.2505
-1.1759 0.5448 8.3424
O S Pa
6 2 2
Direct
0.6010 0.6108 0.2845 O
0.6595 0.6109 0.6422 O
0.3990 0.1108 0.7155 O
0.3405 0.1109 0.3578 O
0.0066 0.6108 0.6214 O
0.9934 0.1108 0.3786 O
0.1484 0.1110 0.1115 S
0.8516 0.6110 0.8885 S
0.2460 0.6108 0.5379 Pa
0.7540 0.1108 0.4621 Pa
```

## Properties
mass density: 6.1 g/cm³
ΔE_f (raw): -2.32 eV/atom
raw total energy: -8.02 eV/atom
total magnetic moment: 0.0 μB/cell

# 6
Material: Pa2SO
Method: DFT, GGA-PBE
State: relaxed

```
Pa2SO
1.0
3.5840 0.0000 0.0000
1.7920 3.1038 0.0000
1.7920 1.0346 7.8674
S Pa O
1 2 1
Direct
0.5000 0.5000 0.5000 S
0.0882 0.0882 0.7353 Pa
0.9118 0.9118 0.2647 Pa
0.0000 0.0000 0.0000 O
```

## Properties
mass density: 9.7 g/cm³
ΔE_f (raw): -1.66 eV/atom
raw total energy: -8.68 eV/atom
total magnetic moment: 0.0 μB/cell